! PBE-GGA BePbSCl2, optimized geometry; values from VASP
! * ΔE_f (raw): -0.621 eV/atom
! * V: 110 Å³/cell
! * DOS(E_F): 0.00 states/eV per atom
&SYSTEM
  ibrav = 0, nat = 5, ntyp = 4
/
ATOMIC_SPECIES
Be 9.01 Be.upf
Cl 35.45 Cl.upf
Pb 207.20 Pb.upf
S 32.06 S.upf
CELL_PARAMETERS angstrom
-3.136 -0.055 3.687
-1.110 -4.602 -1.012
3.400 -1.451 2.871
ATOMIC_POSITIONS crystal
Be 0.000 0.000 0.000
Cl 0.000 0.500 0.000
Pb 0.500 0.500 0.500
Cl 0.500 0.000 0.000
S 0.000 0.000 0.500